Entry 1:
This record from Alexandria via LeMat-Bulk describes a geometry-optimized ZrMnAs structure. The functional is PBE-GGA.

Output
As for the magnetization: 1.06 μB/atom. The energy of formation from the pure elements is 219 meV per atom. The value obtained for the theoretical density is 5.8 g/cm³. The calculation puts the total energy at -7.237 eV/atom. Its density of states at the Fermi level is 17.35 states/eV per cell.

a = 6.342 Å, b = 6.342 Å, c = 6.342 Å
α = 90.00°, β = 90.00°, γ = 90.00°
Space group F-43m (No. 216)
One atom of each set of equivalent atoms:
Zr  0.000  0.000  0.000 (multiplicity 4)
Mn  0.250  0.250  0.250 (multiplicity 4)
As  0.250  0.250  0.750 (multiplicity 4)

=====

Entry 2:
This record from Alexandria via LeMat-Bulk describes a geometry-optimized ZrMn2As structure. The functional is PBE-GGA.

Output
As for the magnetization: 1.40 μB/atom. The energy of formation from the pure elements is 2 meV per atom. The value obtained for the theoretical density is 7.2 g/cm³. The calculation puts the total energy at -7.882 eV/atom. Its density of states at the Fermi level is 23.04 states/eV per cell.

a = 6.334 Å, b = 6.334 Å, c = 6.334 Å
α = 90.00°, β = 90.00°, γ = 90.00°
Space group F-43m (No. 216)
One atom of each set of equivalent atoms:
Zr  0.000  0.000  0.000 (multiplicity 4)
Mn  0.000  0.000  0.500 (multiplicity 4)
Mn  0.250  0.250  0.750 (multiplicity 4)
As  0.250  0.250  0.250 (multiplicity 4)

=====

Entry 3:
This record from Alexandria via LeMat-Bulk describes a geometry-optimized ZrMnAs structure. The functional is PBE-GGA.

Output
As for the magnetization: 0.00 μB/atom. The energy of formation from the pure elements is -276 meV per atom. The value obtained for the theoretical density is 7.7 g/cm³. The calculation puts the total energy at -7.732 eV/atom. Its density of states at the Fermi level is 4.08 states/eV per cell.

a = 3.078 Å, b = 3.078 Å, c = 10.078 Å
α = 90.00°, β = 90.00°, γ = 90.00°
Space group I4mm (No. 107)
One atom of each set of equivalent atoms:
Zr  0.000  0.000  0.000 (multiplicity 2)
Mn  0.000  0.000  0.321 (multiplicity 2)
As  0.000  0.000  0.707 (multiplicity 2)